1.
Entry from Alexandria via LeMat-Bulk: crystalline NbBI3 at its relaxed geometry (PBE).

Cell: 5.685 5.685 5.685 Å, 90.00 90.00 90.00°
Space group Pm-3m (No. 221)
Inequivalent atoms, fractional coordinates:
Nb 0.000 0.000 0.000 [1 per cell]
B 0.500 0.500 0.500 [1 per cell]
I 0.000 0.000 0.500 [3 per cell]

final energy	-16.265	eV/cell
excess energy over the best structure of this formula in the dataset	0.0000	eV/atom
energy relative to the elements, uncorrected	1.03	eV per atom
M_tot	3.00	μB per cell
calculated density	4.379	g/cm³
density of states at the Fermi level	0.799	states/eV/atom

2.
Entry from Alexandria via LeMat-Bulk: crystalline BeF at its relaxed geometry (PBE).

Cell: 2.468 6.467 8.965 Å, 90.00 90.00 90.00°
Space group Amm2 (No. 38)
Inequivalent atoms, fractional coordinates:
Be 0.000 0.000 0.000 [2 per cell]
Be 0.500 0.219 0.610 [4 per cell]
F 0.000 0.226 0.720 [4 per cell]
F 0.500 0.000 0.533 [2 per cell]

final energy	-56.131	eV/cell
excess energy over the best structure of this formula in the dataset	0.1285	eV/atom
energy relative to the elements, uncorrected	-1.88	eV per atom
M_tot	0.00	μB per cell
calculated density	1.950	g/cm³
density of states at the Fermi level	0.101	states/eV/atom

3.
Entry from Alexandria via LeMat-Bulk: crystalline MgSbAs at its relaxed geometry (PBE).

Cell: 6.705 6.705 6.705 Å, 90.00 90.00 90.00°
Space group F-43m (No. 216)
Inequivalent atoms, fractional coordinates:
Mg 0.000 0.000 0.000 [4 per cell]
Sb 0.250 0.250 0.250 [4 per cell]
As 0.250 0.250 0.750 [4 per cell]

final energy	-41.882	eV/cell
excess energy over the best structure of this formula in the dataset	0.0753	eV/atom
energy relative to the elements, uncorrected	-0.03	eV per atom
M_tot	0.00	μB per cell
calculated density	4.870	g/cm³
density of states at the Fermi level	0.113	states/eV/atom

4.
Entry from Alexandria via LeMat-Bulk: crystalline LiCe2PmSe5 at its relaxed geometry (PBE).

Cell: 4.169 17.405 12.546 Å, 90.00 90.00 90.00°
Space group Cmc2_1 (No. 36)
Inequivalent atoms, fractional coordinates:
Li 0.000 0.014 0.000 [4 per cell]
Ce 0.000 0.376 0.817 [4 per cell]
Ce 0.000 0.391 0.203 [4 per cell]
Pm 0.000 0.303 0.520 [4 per cell]
Se 0.000 0.000 0.303 [4 per cell]
Se 0.000 0.136 0.518 [4 per cell]
Se 0.000 0.190 0.858 [4 per cell]
Se 0.000 0.211 0.185 [4 per cell]
Se 0.000 0.456 0.593 [4 per cell]

final energy	-205.047	eV/cell
energy relative to the elements, uncorrected	-1.70	eV per atom
M_tot	7.74	μB per cell
calculated density	6.034	g/cm³
density of states at the Fermi level	1.490	states/eV/atom

5.
Entry from Alexandria via LeMat-Bulk: crystalline KZnCo4 at its relaxed geometry (PBE).

Cell: 7.094 7.094 7.094 Å, 90.00 90.00 90.00°
Space group F-43m (No. 216)
Inequivalent atoms, fractional coordinates:
K 0.000 0.000 0.000 [4 per cell]
Zn 0.250 0.250 0.750 [4 per cell]
Co 0.124 0.124 0.376 [16 per cell]

final energy	-108.334	eV/cell
E_form	0.6186	eV/atom
M_tot	27.02	μB per cell
calculated density	6.331	g/cm³
density of states at the Fermi level	1.016	states/eV/atom

6.
Entry from Alexandria via LeMat-Bulk: crystalline AgGe3B at its relaxed geometry (PBE).

Cell: 4.434 4.434 4.434 Å, 90.00 90.00 90.00°
Space group Pm-3m (No. 221)
Inequivalent atoms, fractional coordinates:
Ag 0.000 0.000 0.000 [1 per cell]
Ge 0.000 0.500 0.500 [3 per cell]
B 0.500 0.500 0.500 [1 per cell]

final energy	-20.085	eV/cell
E_form	0.6592	eV/atom
excess energy over the best structure of this formula in the dataset	0.0000	eV/atom
M_tot	0.00	μB per cell
calculated density	6.410	g/cm³
density of states at the Fermi level	0.464	states/eV/atom